Entry 1:
A geometry-optimized Ba5SnGe2 structure. Source: Alexandria, functional PBE-GGA.

Computed properties:
For the total energy, the calculation gives -3.424 eV per atom. For the density of states at the Fermi level, the calculation gives 2.49 states/eV/f.u. The value obtained for the volume is 1303.80 Å³/cell. The magnetization is 0.43 μB/cell. As for the formation enthalpy at 0 K: -568 meV per atom.

Unit cell a=8.738 b=8.738 c=17.075 alpha=90.00 beta=90.00 gamma=90.00
Space group I4/mcm (No. 140)
Unique sites:
Ba 0.000 0.000 0.000 (multiplicity 4)
Ba 0.179 0.321 0.138 (multiplicity 16)
Sn 0.000 0.000 0.250 (multiplicity 4)
Ge 0.107 0.393 0.500 (multiplicity 8)



Entry 2:
A geometry-optimized BaSnGe3 structure. Source: Alexandria, functional PBE-GGA.

Computed properties:
For the total energy, the calculation gives -2.739 eV per atom. For the density of states at the Fermi level, the calculation gives 7.33 states/eV/f.u. The value obtained for the volume is 189.34 Å³/cell. The magnetization is 0.00 μB/cell. The calculation puts the polymorph energy (0 for the lowest one) at 475 kJ/mol of formula units. As for the formation enthalpy at 0 K: 1217 meV per atom.

Unit cell a=5.742 b=5.742 c=5.742 alpha=90.00 beta=90.00 gamma=90.00
Space group Pm-3m (No. 221)
Unique sites:
Ba 0.000 0.000 0.000 (multiplicity 1)
Sn 0.500 0.500 0.500 (multiplicity 1)
Ge 0.000 0.000 0.500 (multiplicity 3)



Entry 3:
A geometry-optimized BaSnGe3 structure. Source: Alexandria, functional PBE-GGA.

Computed properties:
For the total energy, the calculation gives -3.723 eV per atom. For the density of states at the Fermi level, the calculation gives 3.87 states/eV/f.u. The value obtained for the volume is 156.89 Å³/cell. The magnetization is 0.00 μB/cell. The calculation puts the polymorph energy (0 for the lowest one) at 0 kJ/mol of formula units. As for the formation enthalpy at 0 K: 232 meV per atom.

Unit cell a=5.393 b=5.393 c=5.393 alpha=90.00 beta=90.00 gamma=90.00
Space group Pm-3m (No. 221)
Unique sites:
Ba 0.000 0.000 0.000 (multiplicity 1)
Sn 0.500 0.500 0.500 (multiplicity 1)
Ge 0.000 0.500 0.500 (multiplicity 3)



Entry 4:
A geometry-optimized BaSnGe structure. Source: Alexandria, functional PBE-GGA.

Computed properties:
For the total energy, the calculation gives -4.005 eV per atom. For the density of states at the Fermi level, the calculation gives 0.84 states/eV/f.u. The value obtained for the volume is 209.39 Å³/cell. The magnetization is 0.00 μB/cell. As for the formation enthalpy at 0 K: -491 meV per atom.

Unit cell a=6.074 b=4.727 c=7.431 alpha=90.00 beta=101.09 gamma=90.00
Space group P2_1/m (No. 11)
Unique sites:
Ba 0.198 0.250 0.255 (multiplicity 2)
Sn 0.305 0.250 0.752 (multiplicity 2)
Ge 0.327 0.750 0.966 (multiplicity 2)



Entry 5:
A geometry-optimized Ba3Sn3Ge2 structure. Source: Alexandria, functional PBE-GGA.

Computed properties:
For the total energy, the calculation gives -3.874 eV per atom. For the density of states at the Fermi level, the calculation gives 3.11 states/eV/f.u. The value obtained for the volume is 1103.69 Å³/cell. The magnetization is 0.00 μB/cell. As for the formation enthalpy at 0 K: -498 meV per atom.

Unit cell a=5.079 b=12.648 c=17.181 alpha=90.00 beta=90.00 gamma=90.00
Space group Cmcm (No. 63)
Unique sites:
Ba 0.000 0.099 0.250 (multiplicity 4)
Ba 0.000 0.146 0.551 (multiplicity 8)
Sn 0.000 0.188 0.750 (multiplicity 4)
Sn 0.000 0.437 0.581 (multiplicity 8)
Ge 0.000 0.390 0.176 (multiplicity 8)



Entry 6:
A geometry-optimized Ba2SnGe structure. Source: Alexandria, functional PBE-GGA.

Computed properties:
For the total energy, the calculation gives -3.756 eV per atom. For the density of states at the Fermi level, the calculation gives 1.05 states/eV/f.u. The value obtained for the volume is 297.09 Å³/cell. The magnetization is 0.00 μB/cell. As for the formation enthalpy at 0 K: -639 meV per atom.

Unit cell a=6.795 b=4.529 c=10.035 alpha=90.00 beta=105.84 gamma=90.00
Space group P2_1/m (No. 11)
Unique sites:
Ba 0.197 0.250 0.426 (multiplicity 2)
Ba 0.287 0.750 0.063 (multiplicity 2)
Sn 0.355 0.750 0.716 (multiplicity 2)
Ge 0.149 0.250 0.786 (multiplicity 2)